Density functional theory data (PBE) for an optimized crystal structure of ScPaNi2.

formation energy from the elements	-1.8	eV/f.u.
relative energy among the computed polymorphs	0.0000	eV per atom
VASP energy	-7.295	eV per atom
magnetic moment	0.00	μB/atom
symmetry	No. 38

```
ScPaNi2
1.0
4.2691 0.0000 0.0000
0.0000 1.6903 4.9394
0.0000 -1.6903 4.9394
Sc Pa Ni
1 1 2
Direct
0.0000 0.0000 0.0000
0.5000 0.2763 0.2763
0.0000 0.7247 0.7247
0.5000 0.5562 0.5562
```